Here is CuTcRh2 after structural relaxation from Alexandria via LeMat-Bulk. Energies are from GGA-PBE.

Structure (POSCAR):
```
CuTcRh2
1.0
4.630 -0.014 0.000
-1.391 4.416 0.000
0.000 0.000 2.719
Tc Rh Cu
1 2 1
direct
0.500 0.000 0.500 Tc
0.000 0.000 0.000 Rh
0.500 0.500 0.000 Rh
0.000 0.500 0.500 Cu
```

Computed properties:
Energy relative to the elements, meV/atom: 86
ρ, Mg/m³: 10.98